DFT (GGA-PBEsol) results for a geometry-optimized LiY3I structure.

The structure in CIF format:
```
data_LiY3I
_space_group_name_H-M_alt 'P m -3 m'
_space_group_IT_number 221
_space_group_name_Hall '-P 4 2 3'
_cell_length_a 5.6100
_cell_length_b 5.6100
_cell_length_c 5.6100
_cell_angle_alpha 90.00
_cell_angle_beta 90.00
_cell_angle_gamma 90.00
loop_
_atom_site_label
_atom_site_type_symbol
_atom_site_fract_x
_atom_site_fract_y
_atom_site_fract_z
Li1 Li 0.0000 0.0000 0.0000
Y1 Y 0.0000 0.5000 0.5000
I1 I 0.5000 0.5000 0.5000
```

Results
Mass density in g/cm3: 3.77
Formation energy without anion corrections in eV per atom: 0.24